Density functional theory data (GGA-PBE) for a relaxed structure of NaHg2Cl2.

```
NaHg2Cl2
1.0
-4.913 2.639 -5.396
-5.241 -5.289 2.185
-2.013 3.450 3.520
Na Hg Cl
2 4 4
Direct
0.000 0.000 0.000
0.500 0.500 0.000
0.628 0.872 0.500
0.128 0.628 0.500
0.372 0.128 0.500
0.872 0.372 0.500
0.266 0.234 0.000
0.734 0.766 0.000
0.234 0.734 0.000
0.766 0.266 0.000
```

Properties
V   32.07 Å³ per atom
Formation energy without anion corrections   -702 meV per atom
Space-group type   No. 127
Calculated density   5.128 g/cm³
Total magnetization   0.00 μB per cell
Calculated total energy   -1.825 eV/atom